A plane-wave DFT calculation with PBEsol was carried out for MgGaTe3 after structural relaxation.

Unit cell a=5.4144 b=5.4144 c=5.4144 alpha=90.00 beta=90.00 gamma=90.00
Last column: nearest neighbours and their distance in Å.
Atoms (fractional coordinates):
Mg: 0.0000 0.0000 0.0000  6 Te 2.71
Ga: 0.5000 0.5000 0.5000  12 Te 3.83
Te: 0.0000 0.0000 0.5000  2 Mg 2.71
Te: 0.0000 0.5000 0.0000  2 Mg 2.71
Te: 0.5000 0.0000 0.0000  2 Mg 2.71

Values from the calculation:
DOS(E_F) = 5.98 states/eV/f.u.
space-group type = Pm-3m
raw formation energy = 201 meV per atom
spin magnetization = 0.00 μB per atom
density = 5.0 g/cm³

=====

A plane-wave DFT calculation with PBEsol was carried out for MgTi3Ga after structural relaxation.

Unit cell a=4.6569 b=4.6569 c=4.6569 alpha=90.00 beta=90.00 gamma=90.00
Last column: nearest neighbours and their distance in Å.
Atoms (fractional coordinates):
Mg: 0.0000 0.0000 0.0000  6 Ti 2.33
Ti: 0.0000 0.0000 0.5000  2 Mg 2.33
Ti: 0.0000 0.5000 0.0000  2 Mg 2.33
Ti: 0.5000 0.0000 0.0000  2 Mg 2.33
Ga: 0.5000 0.5000 0.5000  12 Ti 3.29

Values from the calculation:
DOS(E_F) = 6.11 states/eV/f.u.
DFT formation energy = 1.191 eV per atom
space-group type = Pm-3m
spin magnetization = 0.00 μB per atom
density = 3.9 g/cm³

=====

A plane-wave DFT calculation with PBEsol was carried out for Mg3TlGa after structural relaxation.

Unit cell a=5.2668 b=5.2668 c=5.2668 alpha=90.00 beta=90.00 gamma=90.00
Last column: nearest neighbours and their distance in Å.
Atoms (fractional coordinates):
Mg: 0.0000 0.0000 0.5000  2 Tl 2.63
Mg: 0.0000 0.5000 0.0000  2 Tl 2.63
Mg: 0.5000 0.0000 0.0000  2 Tl 2.63
Tl: 0.0000 0.0000 0.0000  6 Mg 2.63
Ga: 0.5000 0.5000 0.5000  12 Mg 3.72

Values from the calculation:
DOS(E_F) = 2.60 states/eV/f.u.
DFT formation energy = 0.402 eV per atom
space-group type = Pm-3m
spin magnetization = 0.00 μB per atom
density = 3.9 g/cm³

=====

A plane-wave DFT calculation with PBEsol was carried out for Mg2TlGa after structural relaxation.

Unit cell a=6.9777 b=6.9777 c=6.9777 alpha=90.00 beta=90.00 gamma=90.00
Last column: nearest neighbours and their distance in Å.
Atoms (fractional coordinates):
Mg: 0.2500 0.2500 0.2500  4 Tl 3.02, 4 Ga 3.02
Mg: 0.2500 0.2500 0.7500  4 Tl 3.02, 4 Ga 3.02
Mg: 0.2500 0.7500 0.2500  4 Tl 3.02, 4 Ga 3.02
Mg: 0.2500 0.7500 0.7500  4 Tl 3.02, 4 Ga 3.02
Mg: 0.7500 0.2500 0.2500  4 Tl 3.02, 4 Ga 3.02
Mg: 0.7500 0.2500 0.7500  4 Tl 3.02, 4 Ga 3.02
Mg: 0.7500 0.7500 0.2500  4 Tl 3.02, 4 Ga 3.02
Mg: 0.7500 0.7500 0.7500  4 Tl 3.02, 4 Ga 3.02
Tl: 0.0000 0.0000 0.0000  8 Mg 3.02
Tl: 0.0000 0.5000 0.5000  8 Mg 3.02
Tl: 0.5000 0.0000 0.5000  8 Mg 3.02
Tl: 0.5000 0.5000 0.0000  8 Mg 3.02
Ga: 0.0000 0.0000 0.5000  8 Mg 3.02
Ga: 0.0000 0.5000 0.0000  8 Mg 3.02
Ga: 0.5000 0.0000 0.0000  8 Mg 3.02
Ga: 0.5000 0.5000 0.5000  8 Mg 3.02

Values from the calculation:
DOS(E_F) = 1.54 states/eV/f.u.
DFT formation energy = -0.085 eV per atom
space-group type = Fm-3m
spin magnetization = 0.00 μB per atom
density = 6.3 g/cm³

=====

Repeat the fourth record exactly.
A plane-wave DFT calculation with PBEsol was carried out for Mg2TlGa after structural relaxation.

Unit cell a=6.9777 b=6.9777 c=6.9777 alpha=90.00 beta=90.00 gamma=90.00
Last column: nearest neighbours and their distance in Å.
Atoms (fractional coordinates):
Mg: 0.2500 0.2500 0.2500  4 Tl 3.02, 4 Ga 3.02
Mg: 0.2500 0.2500 0.7500  4 Tl 3.02, 4 Ga 3.02
Mg: 0.2500 0.7500 0.2500  4 Tl 3.02, 4 Ga 3.02
Mg: 0.2500 0.7500 0.7500  4 Tl 3.02, 4 Ga 3.02
Mg: 0.7500 0.2500 0.2500  4 Tl 3.02, 4 Ga 3.02
Mg: 0.7500 0.2500 0.7500  4 Tl 3.02, 4 Ga 3.02
Mg: 0.7500 0.7500 0.2500  4 Tl 3.02, 4 Ga 3.02
Mg: 0.7500 0.7500 0.7500  4 Tl 3.02, 4 Ga 3.02
Tl: 0.0000 0.0000 0.0000  8 Mg 3.02
Tl: 0.0000 0.5000 0.5000  8 Mg 3.02
Tl: 0.5000 0.0000 0.5000  8 Mg 3.02
Tl: 0.5000 0.5000 0.0000  8 Mg 3.02
Ga: 0.0000 0.0000 0.5000  8 Mg 3.02
Ga: 0.0000 0.5000 0.0000  8 Mg 3.02
Ga: 0.5000 0.0000 0.0000  8 Mg 3.02
Ga: 0.5000 0.5000 0.5000  8 Mg 3.02

Values from the calculation:
DOS(E_F) = 1.54 states/eV/f.u.
DFT formation energy = -0.085 eV per atom
space-group type = Fm-3m
spin magnetization = 0.00 μB per atom
density = 6.3 g/cm³